Computed, not measured: crystalline YBePt3 at its relaxed geometry at the PBE-GGA level of DFT.

Results
Excess energy over the best structure of this formula in the dataset: 420 meV/atom
Density of states at the Fermi level: 0.3391 states/eV/atom
VASP energy: -61.99 eV per cell
ΔH_f (0 K): -0.54 eV/atom

a = 7.7081 Å, b = 7.7081 Å, c = 7.7081 Å
α = 41.74°, β = 41.74°, γ = 41.74°
Fractional coordinates of all 10 atoms:
Y 0.3326 0.3326 0.3326
Y 0.6674 0.6674 0.6674
Be 0.1237 0.1237 0.1237
Be 0.8763 0.8763 0.8763
Pt 0.5506 0.1096 0.6737
Pt 0.1096 0.6737 0.5506
Pt 0.3263 0.4494 0.8904
Pt 0.8904 0.3263 0.4494
Pt 0.4494 0.8904 0.3263
Pt 0.6737 0.5506 0.1096

---

Computed, not measured: crystalline Na5SO4F2 at its relaxed geometry at the PBE-GGA level of DFT.

Results
Density of states at the Fermi level: 0.1187 states/eV/atom
VASP energy: -56.47 eV per cell
Uncorrected formation energy: -1.8476 eV/atom

a = 5.8966 Å, b = 5.4541 Å, c = 6.7411 Å
α = 90.00°, β = 90.00°, γ = 122.72°
Fractional coordinates of all 12 atoms:
Na 0.0868 0.3703 0.2598
Na 0.3837 0.0000 0.5000
Na 0.0868 0.3703 0.7402
Na 0.7165 0.6297 0.7402
Na 0.7165 0.6297 0.2598
S 0.4114 0.0000 0.0000
O 0.5599 0.0000 0.1820
O 0.5599 0.0000 0.8180
O 0.4000 0.2703 0.0000
O 0.1296 0.7297 0.0000
F 0.9649 0.5750 0.5000
F 0.3899 0.4250 0.5000

---

Computed, not measured: crystalline Ba6ZnHg5 at its relaxed geometry at the PBE-GGA level of DFT.

Results
Density of states at the Fermi level: 0.8886 states/eV/atom
VASP energy: -19.87 eV per cell
ΔH_f (0 K): -0.46 eV/atom

a = 5.9422 Å, b = 8.3639 Å, c = 10.2857 Å
α = 113.99°, β = 106.86°, γ = 90.00°
Fractional coordinates of all 12 atoms:
Zn 0.0000 0.0000 0.0000
Ba 0.8344 0.5857 0.6687
Ba 0.8343 0.0829 0.6687
Ba 0.5000 0.7528 0.0000
Ba 0.5000 0.2472 0.0000
Ba 0.1657 0.9171 0.3313
Ba 0.1656 0.4143 0.3313
Hg 0.6663 0.1663 0.3326
Hg 0.3336 0.3335 0.6671
Hg 0.0000 0.5000 0.0000
Hg 0.6664 0.6665 0.3329
Hg 0.3337 0.8337 0.6674

---

Number 1 is which compound?
YBePt3

---

Which of these has the lowest VASP energy?
YBePt3

---

Look up the density of states at the Fermi level of the third one.
0.8886 states/eV/atom